(1)
Entry from the Alexandria database: a relaxed structure of Nd2Ho2Tm3 (GGA-PBE).

Lattice parameters (Å, degrees): 3.4916 8.6770 8.5075 115.78 101.84 90.00
Fractional positions:
Nd: 0.9197 0.7979 0.8395
Nd: 0.0803 0.2021 0.1605
Ho: 0.6398 0.9066 0.2796
Ho: 0.3602 0.0934 0.7204
Tm: 0.0000 0.5000 0.0000
Tm: 0.2199 0.6466 0.4398
Tm: 0.7801 0.3534 0.5602

V   226 Å³/cell
E_form   3.1 kcal/mol of atoms
Space-group type   C2/m, No. 12

(2)
Entry from the Alexandria database: a relaxed structure of SrHf3Cu (GGA-PBE).

Lattice parameters (Å, degrees): 5.1101 5.1101 5.1101 90.00 90.00 90.00
Fractional positions:
Sr: 0.0000 0.0000 0.0000
Hf: 0.0000 0.5000 0.0000
Hf: 0.0000 0.0000 0.5000
Hf: 0.5000 0.0000 0.0000
Cu: 0.5000 0.5000 0.5000

V   133 Å³/cell
E_form   53.0 kcal/mol of atoms
Space-group type   Pm-3m, No. 221

(3)
Entry from the Alexandria database: a relaxed structure of U4Fe7P6 (GGA-PBE).

Lattice parameters (Å, degrees): 6.8018 6.8018 6.8018 109.47 109.47 109.47
Each line ends with the local moment (μB).
Fractional positions:
U: 0.5000 0.0000 0.0000  1.57
U: 0.5000 0.5000 0.5000  1.57
U: 0.0000 0.5000 0.0000  1.57
U: 0.0000 0.0000 0.5000  1.57
Fe: 0.7500 0.5000 0.2500  -1.16
Fe: 0.2500 0.7500 0.5000  -1.16
Fe: 0.5000 0.7500 0.2500  -1.16
Fe: 0.7500 0.2500 0.5000  -1.16
Fe: 0.2500 0.5000 0.7500  -1.16
Fe: 0.5000 0.2500 0.7500  -1.16
Fe: 0.0000 0.0000 0.0000  1.59
P: 0.6833 0.0000 0.6833  -0.04
P: 0.6833 0.6833 0.0000  -0.04
P: 0.0000 0.3167 0.3167  -0.04
P: 0.3167 0.0000 0.3167  -0.04
P: 0.3167 0.3167 0.0000  -0.04
P: 0.0000 0.6833 0.6833  -0.04

V   242 Å³/cell
E_form   -15.5 kcal/mol of atoms
Space-group type   Im-3m, No. 229

(4)
Entry from the Alexandria database: a relaxed structure of NdGa2AgAu5 (GGA-PBE).

Lattice parameters (Å, degrees): 4.9214 4.9214 7.7325 90.00 90.00 90.00
Fractional positions:
Nd: 0.0000 0.0000 0.5000
Ga: 0.5000 0.5000 0.1570
Ga: 0.5000 0.5000 0.8430
Ag: 0.0000 0.0000 0.0000
Au: 0.0000 0.5000 0.2516
Au: 0.5000 0.0000 0.2516
Au: 0.0000 0.5000 0.7484
Au: 0.5000 0.0000 0.7484
Au: 0.5000 0.5000 0.5000

V   187 Å³/cell
E_form   -6.4 kcal/mol of atoms
Space-group type   P4/mmm, No. 123

(5)
Entry from the Alexandria database: a relaxed structure of LiTbEr2 (GGA-PBE).

Lattice parameters (Å, degrees): 5.4435 5.4435 5.4435 60.00 60.00 60.00
Fractional positions:
Li: 0.5000 0.5000 0.5000
Tb: 0.0000 0.0000 0.0000
Er: 0.2500 0.2500 0.2500
Er: 0.7500 0.7500 0.7500

V   114 Å³/cell
E_form   4.4 kcal/mol of atoms
Space-group type   Fm-3m, No. 225

(6)
Entry from the Alexandria database: a relaxed structure of Fe2SnPb (GGA-PBE).

Lattice parameters (Å, degrees): 4.5152 4.5152 4.5152 60.00 60.00 60.00
Fractional positions:
Pb: 0.5000 0.5000 0.5000
Sn: 0.0000 0.0000 0.0000
Fe: 0.2500 0.2500 0.2500
Fe: 0.7500 0.7500 0.7500

V   65 Å³/cell
E_form   13.9 kcal/mol of atoms
Space-group type   Fm-3m, No. 225